Record 1
The following is a DFT calculation (PBE) of a relaxed CrTeBr2 crystal.

Unit cell a=5.1779 b=3.7061 c=7.2701 alpha=90.00 beta=110.43 gamma=90.00
Closest atoms and distances in Å follow each position.
Fractional positions:
Cr1 0.0000 0.0000 0.0000  4 Br 2.55-2.62, 2 Te 2.66
Te1 0.1432 0.5000 0.2801  2 Cr 2.66
Br1 0.5276 0.0000 0.0514  2 Cr 2.60-2.62
Br2 0.8756 0.5000 0.7424  2 Cr 2.55

- E above lowest polymorph: 0.0000 eV per atom
- Crystal system: monoclinic
- Total energy: -17.4 eV per cell
- Magnetic moment: 0.529 μB per atom
- Space-group type: Pm, No. 6
- N(E_F): 2.53 states/eV per cell

=====

Record 2
The following is a DFT calculation (PBE) of a relaxed Dy2ScIn3 crystal.

Unit cell a=8.2807 b=8.2807 c=7.3650 alpha=90.00 beta=90.00 gamma=143.18
Closest atoms and distances in Å follow each position.
Fractional positions:
Dy1 0.0000 0.0000 0.0000  8 In 3.24-3.31
Dy2 0.0000 0.0000 0.5000  8 In 3.16-3.20
Dy3 0.3355 0.6645 0.0000  8 In 3.21-3.25
Dy4 0.6645 0.3355 0.0000  8 In 3.21-3.25
Sc1 0.3340 0.6660 0.5000  8 In 3.11-3.15
Sc2 0.6660 0.3340 0.5000  8 In 3.11-3.15
In1 0.1707 0.8293 0.2625  3 Sc 3.11-3.15, 5 Dy 3.20-3.31
In2 0.1707 0.8293 0.7375  3 Sc 3.11-3.15, 5 Dy 3.20-3.31
In3 0.5000 0.5000 0.2594  2 Sc 3.15, 6 Dy 3.16-3.24
In4 0.5000 0.5000 0.7406  2 Sc 3.15, 6 Dy 3.16-3.24
In5 0.8293 0.1707 0.2625  3 Sc 3.11-3.15, 5 Dy 3.20-3.31
In6 0.8293 0.1707 0.7375  3 Sc 3.11-3.15, 5 Dy 3.20-3.31

- E above lowest polymorph: 0.0050 eV per atom
- Crystal system: orthorhombic
- Total energy: -52.8 eV per cell
- DFT formation energy: -442 meV per atom
- Magnetic moment: 0.000 μB per atom
- Space-group type: Cmmm, No. 65
- N(E_F): 6.47 states/eV per cell

=====

Record 3
The following is a DFT calculation (PBE) of a relaxed ZrAs crystal.

Unit cell a=7.2476 b=7.2476 c=7.2476 alpha=109.47 beta=109.47 gamma=109.47
Closest atoms and distances in Å follow each position.
Fractional positions:
Zr1 0.0000 0.0000 0.2774  4 As 2.67-2.69
Zr2 0.0000 0.2774 0.0000  4 As 2.67-2.69
Zr3 0.2774 0.0000 0.0000  4 As 2.67-2.69
Zr4 0.7226 0.7226 0.7226  4 As 2.67-2.69
As1 0.0000 0.0000 0.6481  4 Zr 2.67-2.69
As2 0.0000 0.6481 0.0000  4 Zr 2.67-2.69
As3 0.3519 0.3519 0.3519  4 Zr 2.67-2.69
As4 0.6481 0.0000 0.0000  4 Zr 2.67-2.69

- Crystal system: cubic
- Total energy: -55.8 eV per cell
- DFT formation energy: -371 meV per atom
- Magnetic moment: 0.228 μB per atom
- Space-group type: I-43m, No. 217
- N(E_F): 6.43 states/eV per cell

=====

Record 4
The following is a DFT calculation (PBE) of a relaxed AcTh5Se6 crystal.

Unit cell a=7.3380 b=7.3380 c=7.3655 alpha=99.56 beta=99.56 gamma=119.88
Closest atoms and distances in Å follow each position.
Fractional positions:
Ac1 0.0000 0.0000 0.0000  6 Se 3.06-3.08
Th1 0.1609 0.8391 0.5000  6 Se 2.97-3.01
Th2 0.3318 0.6682 0.0000  6 Se 2.98-3.00
Th3 0.5000 0.5000 0.5000  6 Se 2.95-3.00
Th4 0.6682 0.3318 0.0000  6 Se 2.98-3.00
Th5 0.8391 0.1609 0.5000  6 Se 2.97-3.01
Se1 0.0865 0.4284 0.2574  5 Th 2.97-3.01, 1 Ac 3.08
Se2 0.2601 0.2601 0.7511  5 Th 2.95-2.99, 1 Ac 3.06
Se3 0.4284 0.0865 0.2574  5 Th 2.97-3.01, 1 Ac 3.08
Se4 0.5716 0.9135 0.7426  5 Th 2.97-3.01, 1 Ac 3.08
Se5 0.7399 0.7399 0.2489  5 Th 2.95-2.99, 1 Ac 3.06
Se6 0.9135 0.5716 0.7426  5 Th 2.97-3.01, 1 Ac 3.08

- Crystal system: monoclinic
- Total energy: -81.0 eV per cell
- Magnetic moment: 0.000 μB per atom
- Space-group type: C2/m, No. 12
- N(E_F): 8.59 states/eV per cell

=====

Record 5
The following is a DFT calculation (PBE) of a relaxed Cu2B2Rh crystal.

Unit cell a=6.3454 b=6.3454 c=2.5223 alpha=90.00 beta=90.00 gamma=90.00
Closest atoms and distances in Å follow each position.
Fractional positions:
Cu1 0.1289 0.3711 0.0000  6 B 2.16-2.33, 1 Cu 2.31
Cu2 0.3711 0.8711 0.0000  6 B 2.16-2.33, 1 Cu 2.31
Cu3 0.6289 0.1289 0.0000  6 B 2.16-2.33, 1 Cu 2.31
Cu4 0.8711 0.6289 0.0000  6 B 2.16-2.33, 1 Cu 2.31
B1 0.1757 0.6757 0.5000  6 Cu 2.16-2.33
B2 0.3243 0.1757 0.5000  6 Cu 2.16-2.33
B3 0.6757 0.8243 0.5000  6 Cu 2.16-2.33
B4 0.8243 0.3243 0.5000  6 Cu 2.16-2.33
Rh1 0.0000 0.0000 0.0000  4 Cu 2.49, 2 Rh 2.52, 8 B 2.66
Rh2 0.5000 0.5000 0.0000  4 Cu 2.49, 2 Rh 2.52, 8 B 2.66

- E above lowest polymorph: 0.4889 eV per atom
- Crystal system: tetragonal
- Total energy: -51.5 eV per cell
- DFT formation energy: 630 meV per atom
- Magnetic moment: 0.000 μB per atom
- Space-group type: P4/mbm, No. 127
- N(E_F): 3.90 states/eV per cell

=====

Record 6
The following is a DFT calculation (PBE) of a relaxed Mn5Co crystal.

Unit cell a=4.6885 b=4.6885 c=5.8770 alpha=103.47 beta=103.47 gamma=30.56
Closest atoms and distances in Å follow each position.
Fractional positions:
Mn1 0.0000 0.0000 0.0000  10 Mn 2.42-2.50, 2 Co 2.48
Mn2 0.0575 0.0575 0.6145  9 Mn 2.44-2.50, 3 Co 2.45
Mn3 0.3902 0.3902 0.2825  11 Mn 2.42-2.49, 1 Co 2.44
Mn4 0.6696 0.6696 0.3319  10 Mn 2.42-2.50, 2 Co 2.50
Mn5 0.7263 0.7263 0.9468  10 Mn 2.42-2.50, 2 Co 2.44
Co1 0.3350 0.3350 0.6690  10 Mn 2.44-2.50, 2 Co 2.47

- E above lowest polymorph: 0.0418 eV per atom
- Crystal system: monoclinic
- Total energy: -52.8 eV per cell
- DFT formation energy: 33 meV per atom
- Magnetic moment: 0.001 μB per atom
- Space-group type: Cm, No. 8
- N(E_F): 7.20 states/eV per cell

=====

Record 7
The following is a DFT calculation (PBE) of a relaxed Nb3CdB crystal.

Unit cell a=4.9395 b=4.9395 c=4.9395 alpha=90.00 beta=90.00 gamma=90.00
Closest atoms and distances in Å follow each position.
Fractional positions:
Nb1 0.0000 0.0000 0.5000  2 Cd 2.47
Nb2 0.0000 0.5000 0.0000  2 Cd 2.47
Nb3 0.5000 0.0000 0.0000  2 Cd 2.47
Cd1 0.0000 0.0000 0.0000  6 Nb 2.47
B1 0.5000 0.5000 0.5000  12 Nb 3.49

- E above lowest polymorph: 2.7434 eV per atom
- Crystal system: cubic
- Total energy: -24.1 eV per cell
- DFT formation energy: 2739 meV per atom
- Magnetic moment: 0.000 μB per atom
- Space-group type: Pm-3m, No. 221
- N(E_F): 2.10 states/eV per cell

=====

Record 8
The following is a DFT calculation (PBE) of a relaxed Pm6YTe8 crystal.

Unit cell a=8.2842 b=8.2842 c=8.2842 alpha=92.88 beta=92.88 gamma=92.88
Closest atoms and distances in Å follow each position.
Fractional positions:
Pm1 0.1895 0.5570 0.4160  5 Te 3.08-3.32
Pm2 0.4160 0.1895 0.5570  5 Te 3.08-3.32
Pm3 0.4430 0.5840 0.8105  5 Te 3.08-3.32
Pm4 0.5570 0.4160 0.1895  5 Te 3.08-3.32
Pm5 0.5840 0.8105 0.4430  5 Te 3.08-3.32
Pm6 0.8105 0.4430 0.5840  5 Te 3.08-3.32
Y1 0.0000 0.0000 0.0000  2 Te 3.02
Te1 0.1346 0.3442 0.7394  4 Pm 3.08-3.32
Te2 0.2220 0.2220 0.2220  1 Y 3.02, 3 Pm 3.17
Te3 0.2606 0.8654 0.6558  4 Pm 3.08-3.32
Te4 0.3442 0.7394 0.1346  4 Pm 3.08-3.32
Te5 0.6558 0.2606 0.8654  4 Pm 3.08-3.32
Te6 0.7394 0.1346 0.3442  4 Pm 3.08-3.32
Te7 0.7780 0.7780 0.7780  1 Y 3.02, 3 Pm 3.17
Te8 0.8654 0.6558 0.2606  4 Pm 3.08-3.32

- E above lowest polymorph: 0.3812 eV per atom
- Crystal system: trigonal
- Total energy: -76.1 eV per cell
- Magnetic moment: 0.003 μB per atom
- Space-group type: R-3, No. 148
- N(E_F): 10.78 states/eV per cell